Record 1
! Pm2Y3ErAs6 (PBE-GGA, optimized geometry); values from VASP
&SYSTEM
  ibrav = 0, nat = 12, ntyp = 4
/
ATOMIC_SPECIES
As 74.92 As.upf
Y 88.91 Y.upf
Er 167.26 Er.upf
Pm 145.00 Pm.upf
ATOMIC_POSITIONS angstrom
As 0.4941 -3.4742 0.7294
As 3.3117 -3.6805 -2.4212
As 4.5633 -3.9491 1.6085
As 4.1863 -0.3336 -4.6310
As 3.6886 -7.2961 3.8184
As 7.3808 -4.1554 -1.5420
Y 2.1196 -5.3983 2.2628
Y 1.7070 -1.7798 -3.9373
Y 5.7553 -2.2314 -3.0755
Er -1.0627 -1.5732 -0.8474
Pm 2.9662 -2.0085 0.0087
Pm 4.9088 -5.6212 -0.8214
CELL_PARAMETERS angstrom
-2.1255 -3.1464 -1.6948
5.5394 -0.4133 -6.1799
4.4610 -4.0700 7.0620
! * spin magnetization: 0.000 μB/f.u.
! * DOS at the Fermi energy: 1.9 states/eV/f.u.
! * ΔH_f (0 K): -1.54 eV/atom

***

Record 2
! Tl2AgSb2 (PBE-GGA, optimized geometry); values from VASP
&SYSTEM
  ibrav = 0, nat = 10, ntyp = 3
/
ATOMIC_SPECIES
Ag 107.87 Ag.upf
Tl 204.38 Tl.upf
Sb 121.76 Sb.upf
ATOMIC_POSITIONS angstrom
Ag 3.7220 0.5588 6.8675
Ag 4.1635 5.6291 5.0045
Tl 5.5640 1.9576 10.3814
Tl 2.3215 4.2303 1.4906
Tl 4.3583 2.1663 4.1828
Tl 3.5272 4.0216 7.6892
Sb 2.2794 0.9658 1.6684
Sb 1.2384 1.8418 6.0606
Sb 5.6061 5.2221 10.2037
Sb 6.6471 4.3462 5.8115
CELL_PARAMETERS angstrom
5.0651 0.0000 1.2005
2.4672 5.9754 0.8759
0.3532 0.2126 9.7957
! * spin magnetization: 0.000 μB/f.u.
! * DOS at the Fermi energy: 2.0 states/eV/f.u.
! * formation energy from raw total energies: 2.5 kJ/mol of atoms
! * polymorph energy (0 for the lowest one): 0.0 kJ per mole of atoms